Record 1
Material: Ba3Sb4Pd2Rh2
Method: DFT, PBE
State: relaxed

abc: 4.5514 4.5514 17.8298
angles: 90.00 90.00 120.00
Space group P-3m1 (No. 164)
Unique sites:
1 Ba 0.0000 0.0000 0.0000 x1
2 Ba 0.0000 0.0000 0.2791 x2
3 Sb 0.3333 0.6667 0.4148 x2
4 Sb 0.3333 0.6667 0.8591 x2
5 Pd 0.3333 0.6667 0.1407 x2
6 Rh 0.3333 0.6667 0.5583 x2

## Properties
ΔE_f (raw) = -0.7389 eV/atom
M_tot = 0.0 μB per cell
D(E_F) = 6.915 states/eV/cell

Record 2
Material: RuPbCl2
Method: DFT, PBE
State: relaxed

abc: 3.363 3.363 8.245
angles: 90.00 90.00 90.00
Space group P4mm (No. 99)
Unique sites:
1 Ru 0.000 0.000 0.000 x1
2 Pb 0.500 0.500 0.756 x1
3 Cl 0.000 0.000 0.531 x1
4 Cl 0.500 0.500 0.143 x1

## Properties
polymorph energy (0 for the lowest one) = 28.8 kJ per mole of atoms
ΔE_f (raw) = 0.0993 eV/atom
M_tot = 2.1 μB per cell
D(E_F) = 3.061 states/eV/cell

Record 3
Material: LaSmI5
Method: DFT, PBE
State: relaxed

abc: 9.337 4.357 14.981
angles: 90.00 94.49 90.00
Space group P2_1/m (No. 11)
Unique sites:
1 La 0.102 0.250 0.152 x2
2 Sm 0.415 0.750 0.344 x2
3 I 0.069 0.750 0.312 x2
4 I 0.140 0.250 0.929 x2
5 I 0.322 0.250 0.484 x2
6 I 0.354 0.750 0.130 x2
7 I 0.367 0.750 0.710 x2

## Properties
ΔE_f (raw) = -1.4222 eV/atom
M_tot = 2.0 μB per cell
D(E_F) = 4.113 states/eV/cell

Record 4
Material: TlSb2Ir
Method: DFT, PBE
State: relaxed

abc: 7.129 7.129 7.129
angles: 90.00 90.00 90.00
Space group Fm-3m (No. 225)
Unique sites:
1 Tl 0.000 0.000 0.000 x4
2 Sb 0.250 0.250 0.250 x8
3 Ir 0.000 0.000 0.500 x4

## Properties
polymorph energy (0 for the lowest one) = 46.5 kJ per mole of atoms
ΔE_f (raw) = 0.3893 eV/atom
M_tot = 0.0 μB per cell
D(E_F) = 0.181 states/eV/cell

Record 5
Material: PaFeOs2
Method: DFT, PBE
State: relaxed

abc: 4.4714 4.4714 13.3970
angles: 90.00 90.00 120.00
Space group R-3m (No. 166, hexagonal axes)
Unique sites:
1 Pa 0.0000 0.0000 0.0000 x3
2 Fe 0.0000 0.0000 0.5000 x3
3 Os 0.0000 0.0000 0.1893 x6

## Properties
energy of formation = 62 meV per atom
polymorph energy (0 for the lowest one) = 13.7 kJ per mole of atoms
M_tot = 7.1 μB per cell
D(E_F) = 12.127 states/eV/cell

Record 6
Material: KCe2PrS4
Method: DFT, PBE
State: relaxed

abc: 7.206 4.103 7.213
angles: 90.00 108.96 90.00
Space group P2/m (No. 10)
Unique sites:
1 K 0.000 0.000 0.000 x1
2 Ce 0.000 0.500 0.500 x1
3 Ce 0.500 0.000 0.500 x1
4 Pr 0.500 0.500 0.000 x1
5 S 0.253 0.000 0.740 x2
6 S 0.266 0.500 0.269 x2

## Properties
ΔE_f (raw) = -1.8610 eV/atom
M_tot = 2.3 μB per cell
D(E_F) = 12.817 states/eV/cell

Record 7
Material: ZrSc2Mn
Method: DFT, PBE
State: relaxed

abc: 4.284 4.284 9.128
angles: 90.00 90.00 90.00
Space group I4/mmm (No. 139)
Unique sites:
1 Zr 0.000 0.000 0.000 x2
2 Sc 0.000 0.500 0.250 x4
3 Mn 0.000 0.000 0.500 x2

## Properties
energy of formation = 160 meV per atom
polymorph energy (0 for the lowest one) = 12.4 kJ per mole of atoms
M_tot = 4.7 μB per cell
D(E_F) = 11.461 states/eV/cell

Record 8
Material: CaPmNdGa
Method: DFT, PBE
State: relaxed

abc: 7.734 7.734 7.734
angles: 90.00 90.00 90.00
Space group F-43m (No. 216)
Unique sites:
1 Ca 0.000 0.000 0.000 x4
2 Pm 0.250 0.250 0.250 x4
3 Nd 0.250 0.250 0.750 x4
4 Ga 0.000 0.000 0.500 x4

## Properties
energy of formation = -131 meV per atom
M_tot = 0.0 μB per cell
D(E_F) = 11.220 states/eV/cell

Record 9
Material: PrCu12Pt6
Method: DFT, PBE
State: relaxed

abc: 10.9034 10.9034 8.6780
angles: 90.00 90.00 120.00
Space group R-3m (No. 166, hexagonal axes)
Unique sites:
1 Pr 0.0000 0.0000 0.0000 x3
2 Cu 0.0000 0.3922 0.5000 x18
3 Cu 0.0885 0.1770 0.2852 x18
4 Pt 0.0641 0.5321 0.2420 x18

## Properties
energy of formation = 10 meV per atom
M_tot = 0.0 μB per cell
D(E_F) = 33.281 states/eV/cell

Record 10
Material: ZrHg2As
Method: DFT, PBE
State: relaxed

abc: 3.650 3.650 6.736
angles: 90.00 90.00 90.00
Space group P4mm (No. 99)
Unique sites:
1 Zr 0.000 0.000 0.000 x1
2 Hg 0.000 0.000 0.452 x1
3 Hg 0.500 0.500 0.711 x1
4 As 0.500 0.500 0.139 x1

## Properties
energy of formation = -291 meV per atom
M_tot = 0.0 μB per cell
D(E_F) = 2.618 states/eV/cell

Record 11
Material: SnTeF2
Method: DFT, PBE
State: relaxed

abc: 3.2047 3.2047 26.7134
angles: 90.00 90.00 120.00
Space group R-3m (No. 166, hexagonal axes)
Unique sites:
1 Sn 0.0000 0.0000 0.0000 x3
2 Te 0.0000 0.0000 0.5000 x3
3 F 0.0000 0.0000 0.0792 x6

## Properties
polymorph energy (0 for the lowest one) = 8.7 kJ per mole of atoms
ΔE_f (raw) = -1.0870 eV/atom
M_tot = 0.0 μB per cell
D(E_F) = 4.546 states/eV/cell

Record 12
Material: NaTmTc2O8
Method: DFT, PBE
State: relaxed

abc: 5.9099 5.9099 6.8103
angles: 90.00 90.00 120.00
Space group P-3m1 (No. 164)
Unique sites:
1 Na 0.0000 0.0000 0.0000 x1
2 Tm 0.0000 0.0000 0.5000 x1
3 Tc 0.3333 0.6667 0.7919 x2
4 O 0.1668 0.3336 0.7055 x6
5 O 0.3333 0.6667 0.0471 x2

## Properties
ΔE_f (raw) = -1.8852 eV/atom
M_tot = 2.0 μB per cell
D(E_F) = 6.826 states/eV/cell